Here is Pm4Sm3Ge4 after structural relaxation from the Alexandria database. Energies are from GGA-PBE.

Summary:
The value obtained for the total magnetization is 0.0 Bohr magnetons per cell. The value obtained for the total DFT energy (no corrections) is -5.31 eV/atom. Its space group is Immm, No. 71. Its formation energy is -0.6160 eV/atom. The value obtained for the density of states at the Fermi level is 0.967 states/eV/atom.

a = 3.927 Å, b = 8.776 Å, c = 9.930 Å
α = 116.22°, β = 101.40°, γ = 90.00°
Fractional coordinates of all 11 atoms:
Pm 0.329 0.153 0.658
Pm 0.671 0.494 0.342
Pm 0.671 0.847 0.342
Pm 0.329 0.506 0.658
Sm 0.096 0.096 0.191
Sm 0.904 0.904 0.809
Sm 0.000 0.500 0.000
Ge 0.274 0.774 0.549
Ge 0.726 0.226 0.451
Ge 0.500 0.776 0.000
Ge 0.500 0.224 0.000


Here is Ta2ZnCoH after structural relaxation from the Alexandria database. Energies are from GGA-PBE.

Summary:
The value obtained for the total magnetization is 0.6 Bohr magnetons per cell. The value obtained for the total DFT energy (no corrections) is -7.13 eV/atom. Its space group is P4/mmm, No. 123. The energy above the most stable polymorph in this dataset is 0 meV/atom. The value obtained for the density of states at the Fermi level is 0.666 states/eV/atom.

a = 4.100 Å, b = 4.100 Å, c = 3.721 Å
α = 90.00°, β = 90.00°, γ = 90.00°
Last column: magnetic moment on the atom in μB.
Fractional coordinates of all 5 atoms:
H 0.000 0.000 0.000  0.00
Zn 0.500 0.500 0.500  0.00
Co 0.000 0.000 0.500  0.61
Ta 0.000 0.500 0.000  0.01
Ta 0.500 0.000 0.000  0.01


Here is SmHo3Ru after structural relaxation from the Alexandria database. Energies are from GGA-PBE.

Summary:
The value obtained for the total magnetization is 0.0 Bohr magnetons per cell. The value obtained for the total DFT energy (no corrections) is -5.71 eV/atom. Its space group is P2_1/m, No. 11. The energy above the most stable polymorph in this dataset is 0 meV/atom. Its formation energy is -0.1638 eV/atom. The value obtained for the density of states at the Fermi level is 0.935 states/eV/atom.

a = 6.004 Å, b = 7.418 Å, c = 8.458 Å
α = 90.00°, β = 90.00°, γ = 128.06°
Fractional coordinates of all 10 atoms:
Sm 0.421 0.710 0.750
Sm 0.579 0.290 0.250
Ho 0.000 0.230 0.001
Ho 0.000 0.770 0.999
Ho 0.000 0.230 0.499
Ho 0.000 0.770 0.501
Ho 0.565 0.282 0.750
Ho 0.435 0.718 0.250
Ru 0.999 0.000 0.750
Ru 0.001 0.000 0.250


Here is CSeF after structural relaxation from the Alexandria database. Energies are from GGA-PBE.

Summary:
The value obtained for the total magnetization is 0.0 Bohr magnetons per cell. The energy relative to the elements, uncorrected is 0.12 eV per atom. The value obtained for the total DFT energy (no corrections) is -4.74 eV/atom. Its space group is C2/m, No. 12. The energy above the most stable polymorph in this dataset is 447 meV/atom. The value obtained for the density of states at the Fermi level is 0.396 states/eV/atom.

a = 4.937 Å, b = 4.937 Å, c = 6.931 Å
α = 127.08°, β = 107.32°, γ = 74.67°
Fractional coordinates of all 6 atoms:
Se 0.201 0.477 0.678
Se 0.799 0.523 0.322
F 0.000 0.000 0.500
F 0.500 0.500 0.500
C 0.059 0.860 0.919
C 0.941 0.140 0.081


Here is LiBF after structural relaxation from the Alexandria database. Energies are from GGA-PBE.

Summary:
The value obtained for the total magnetization is 0.0 Bohr magnetons per cell. The energy relative to the elements, uncorrected is -1.32 eV per atom. The value obtained for the total DFT energy (no corrections) is -4.81 eV/atom. Its space group is Immm, No. 71. The value obtained for the density of states at the Fermi level is 0.302 states/eV/atom.

a = 3.668 Å, b = 3.144 Å, c = 7.788 Å
α = 101.64°, β = 103.62°, γ = 90.00°
Fractional coordinates of all 6 atoms:
Li 0.723 0.223 0.446
Li 0.277 0.777 0.554
B 0.500 0.750 0.000
B 0.500 0.250 0.000
F 0.204 0.204 0.408
F 0.796 0.796 0.592


Here is SmAlS3 after structural relaxation from the Alexandria database. Energies are from GGA-PBE.

Summary:
The value obtained for the total magnetization is 0.0 Bohr magnetons per cell. The energy relative to the elements, uncorrected is -1.56 eV per atom. The value obtained for the total DFT energy (no corrections) is -5.72 eV/atom. Its space group is C2/c, No. 15. The energy above the most stable polymorph in this dataset is 0 meV/atom. The value obtained for the density of states at the Fermi level is 0.000 states/eV/atom.

a = 6.953 Å, b = 8.495 Å, c = 8.495 Å
α = 81.08°, β = 77.71°, γ = 77.71°
Fractional coordinates of all 20 atoms:
Sm 0.250 0.903 0.097
Sm 0.750 0.097 0.903
Sm 0.250 0.326 0.674
Sm 0.750 0.674 0.326
Al 0.753 0.612 0.799
Al 0.747 0.201 0.388
Al 0.247 0.388 0.201
Al 0.253 0.799 0.612
S 0.652 0.779 0.995
S 0.848 0.005 0.221
S 0.348 0.221 0.005
S 0.152 0.995 0.779
S 0.891 0.370 0.903
S 0.609 0.097 0.630
S 0.109 0.630 0.097
S 0.391 0.903 0.370
S 0.504 0.586 0.669
S 0.996 0.331 0.414
S 0.496 0.414 0.331
S 0.004 0.669 0.586


Here is Co2TcBr after structural relaxation from the Alexandria database. Energies are from GGA-PBE.

Summary:
The value obtained for the total magnetization is 2.1 Bohr magnetons per cell. The energy relative to the elements, uncorrected is 0.62 eV per atom. The value obtained for the total DFT energy (no corrections) is -5.94 eV/atom. Its space group is P4mm, No. 99. The energy above the most stable polymorph in this dataset is 106 meV/atom. The value obtained for the density of states at the Fermi level is 1.640 states/eV/atom.

a = 3.013 Å, b = 3.013 Å, c = 6.363 Å
α = 90.00°, β = 90.00°, γ = 90.00°
Last column: magnetic moment on the atom in μB.
Fractional coordinates of all 4 atoms:
Br 0.500 0.500 0.754  0.00
Co 0.000 0.000 0.049  1.56
Co 0.500 0.500 0.243  0.95
Tc 0.000 0.000 0.454  -0.38


Here is Sr2CeH4 after structural relaxation from the Alexandria database. Energies are from GGA-PBE.

Summary:
The value obtained for the total magnetization is 1.5 Bohr magnetons per cell. The value obtained for the total DFT energy (no corrections) is -3.49 eV/atom. Its space group is I4/mmm, No. 139. The value obtained for the density of states at the Fermi level is 1.086 states/eV/atom.

a = 4.437 Å, b = 4.437 Å, c = 7.502 Å
α = 72.80°, β = 72.80°, γ = 90.00°
Last column: magnetic moment on the atom in μB.
Fractional coordinates of all 7 atoms:
Sr 0.352 0.352 0.295  0.05
Sr 0.648 0.648 0.705  0.05
Ce 0.000 0.000 0.000  0.86
H 0.172 0.172 0.656  0.00
H 0.828 0.828 0.344  0.00
H 0.000 0.500 0.000  -0.01
H 0.500 0.000 0.000  -0.01


Here is Ce4Hg2N after structural relaxation from the Alexandria database. Energies are from GGA-PBE.

Summary:
The value obtained for the total magnetization is 2.4 Bohr magnetons per cell. The energy relative to the elements, uncorrected is -0.40 eV per atom. The value obtained for the total DFT energy (no corrections) is -5.07 eV/atom. Its space group is Pm, No. 6. The energy above the most stable polymorph in this dataset is 134 meV/atom. The value obtained for the density of states at the Fermi level is 2.321 states/eV/atom.

a = 3.377 Å, b = 11.037 Å, c = 5.798 Å
α = 125.90°, β = 90.00°, γ = 90.00°
Last column: magnetic moment on the atom in μB.
Fractional coordinates of all 7 atoms:
Ce 0.500 0.197 0.144  0.89
Ce 0.000 0.588 0.908  0.40
Ce 0.500 0.941 0.478  0.40
Ce 0.000 0.850 0.963  0.23
Hg 0.500 0.307 0.763  0.01
Hg 0.500 0.595 0.403  0.00
N 0.000 0.022 0.841  -0.03


Here is Sr2Sc2Bi2Sb after structural relaxation from the Alexandria database. Energies are from GGA-PBE.

Summary:
The value obtained for the total magnetization is 0.0 Bohr magnetons per cell. The energy relative to the elements, uncorrected is -0.63 eV per atom. The value obtained for the total DFT energy (no corrections) is -4.62 eV/atom. Its space group is I4/mmm, No. 139. The value obtained for the density of states at the Fermi level is 0.736 states/eV/atom.

a = 5.338 Å, b = 5.338 Å, c = 9.454 Å
α = 106.40°, β = 106.40°, γ = 90.00°
Fractional coordinates of all 7 atoms:
Sr 0.182 0.182 0.363
Sr 0.818 0.818 0.637
Sc 0.000 0.500 0.000
Sc 0.500 0.000 0.000
Bi 0.379 0.379 0.758
Bi 0.621 0.621 0.242
Sb 0.000 0.000 0.000


Here is TcPOs2 after structural relaxation from the Alexandria database. Energies are from GGA-PBE.

Summary:
The value obtained for the total magnetization is 0.0 Bohr magnetons per cell. The value obtained for the total DFT energy (no corrections) is -9.61 eV/atom. Its space group is Amm2, No. 38. Its formation energy is -0.0502 eV/atom. The value obtained for the density of states at the Fermi level is 0.845 states/eV/atom.

a = 5.299 Å, b = 5.299 Å, c = 3.863 Å
α = 90.00°, β = 90.00°, γ = 149.22°
Fractional coordinates of all 4 atoms:
Tc 0.703 0.297 0.500
P 0.293 0.707 0.000
Os 0.066 0.934 0.000
Os 0.435 0.565 0.500


Here is GaH2Ir2 after structural relaxation from the Alexandria database. Energies are from GGA-PBE.

Summary:
The value obtained for the total magnetization is 0.0 Bohr magnetons per cell. The value obtained for the total DFT energy (no corrections) is -5.50 eV/atom. Its space group is P4/mbm, No. 127. The energy above the most stable polymorph in this dataset is 0 meV/atom. The value obtained for the density of states at the Fermi level is 0.194 states/eV/atom.

a = 5.403 Å, b = 5.403 Å, c = 3.534 Å
α = 90.00°, β = 90.00°, γ = 90.00°
Fractional coordinates of all 10 atoms:
H 0.373 0.873 0.000
H 0.873 0.627 0.000
H 0.627 0.127 0.000
H 0.127 0.373 0.000
Ir 0.322 0.822 0.500
Ir 0.822 0.678 0.500
Ir 0.678 0.178 0.500
Ir 0.178 0.322 0.500
Ga 0.000 0.000 0.000
Ga 0.500 0.500 0.000